(1)
The following is a DFT calculation (PBE-GGA) of crystalline La4SiPbBr2 at its relaxed geometry.

Properties
The uncorrected formation energy is -1.065 eV per atom. The size of the total moment comes out at 0.000 μB per atom.

Cell and atoms, written as CIF:
```
data_La4SiPbBr2
_symmetry_space_group_name_H-M 'P 1 2/m 1'
_symmetry_Int_Tables_number 10
_symmetry_space_group_name_Hall '-P 2y'
_cell_length_a 7.584
_cell_length_b 4.520
_cell_length_c 7.953
_cell_angle_alpha 90.00
_cell_angle_beta 110.05
_cell_angle_gamma 90.00
loop_
_atom_site_label
_atom_site_fract_x
_atom_site_fract_y
_atom_site_fract_z
La1 0.227 0.000 0.227
La2 0.238 0.500 0.765
Si1 0.000 0.500 0.000
Pb1 0.000 0.000 0.500
Br1 0.500 0.000 0.000
Br2 0.500 0.500 0.500
```

---

(2)
The following is a DFT calculation (PBE-GGA) of crystalline LaSmPbBr at its relaxed geometry.

Properties
The uncorrected formation energy is -0.835 eV per atom. The size of the total moment comes out at 0.000 μB per atom.

Cell and atoms, written as CIF:
```
data_LaSmPbBr
_symmetry_space_group_name_H-M 'F -4 3 m'
_symmetry_Int_Tables_number 216
_symmetry_space_group_name_Hall 'F -4 2 3'
_cell_length_a 7.779
_cell_length_b 7.779
_cell_length_c 7.779
_cell_angle_alpha 90.00
_cell_angle_beta 90.00
_cell_angle_gamma 90.00
loop_
_atom_site_label
_atom_site_fract_x
_atom_site_fract_y
_atom_site_fract_z
La1 0.000 0.000 0.000
Sm1 0.000 0.000 0.500
Pb1 0.250 0.250 0.250
Br1 0.250 0.250 0.750
```

---

(3)
The following is a DFT calculation (PBE-GGA) of crystalline La2TaPbBr at its relaxed geometry.

Properties
The uncorrected formation energy is 0.165 eV per atom. The size of the total moment comes out at 0.000 μB per atom.

Cell and atoms, written as CIF:
```
data_La2TaPbBr
_symmetry_space_group_name_H-M 'P 4/m m m'
_symmetry_Int_Tables_number 123
_symmetry_space_group_name_Hall '-P 4 2'
_cell_length_a 5.672
_cell_length_b 5.672
_cell_length_c 4.808
_cell_angle_alpha 90.00
_cell_angle_beta 90.00
_cell_angle_gamma 90.00
loop_
_atom_site_label
_atom_site_fract_x
_atom_site_fract_y
_atom_site_fract_z
La1 0.000 0.500 0.000
Ta1 0.000 0.000 0.500
Pb1 0.500 0.500 0.500
Br1 0.000 0.000 0.000
```

---

(4)
The following is a DFT calculation (PBE-GGA) of crystalline LaTaPb2Br at its relaxed geometry.

Properties
The uncorrected formation energy is 0.134 eV per atom. The size of the total moment comes out at 0.000 μB per atom.

Cell and atoms, written as CIF:
```
data_LaTaPb2Br
_symmetry_space_group_name_H-M 'P 4/m m m'
_symmetry_Int_Tables_number 123
_symmetry_space_group_name_Hall '-P 4 2'
_cell_length_a 5.554
_cell_length_b 5.554
_cell_length_c 5.060
_cell_angle_alpha 90.00
_cell_angle_beta 90.00
_cell_angle_gamma 90.00
loop_
_atom_site_label
_atom_site_fract_x
_atom_site_fract_y
_atom_site_fract_z
La1 0.000 0.000 0.000
Ta1 0.500 0.500 0.500
Pb1 0.000 0.500 0.500
Br1 0.500 0.500 0.000
```

---

(5)
The following is a DFT calculation (PBE-GGA) of crystalline La4TePb2Br at its relaxed geometry.

Properties
The uncorrected formation energy is -1.070 eV per atom. The size of the total moment comes out at 0.000 μB per atom.

Cell and atoms, written as CIF:
```
data_La4TePb2Br
_symmetry_space_group_name_H-M 'P 1 2/m 1'
_symmetry_Int_Tables_number 10
_symmetry_space_group_name_Hall '-P 2y'
_cell_length_a 7.851
_cell_length_b 4.676
_cell_length_c 8.071
_cell_angle_alpha 90.00
_cell_angle_beta 110.07
_cell_angle_gamma 90.00
loop_
_atom_site_label
_atom_site_fract_x
_atom_site_fract_y
_atom_site_fract_z
La1 0.240 0.000 0.245
La2 0.244 0.500 0.749
Te1 0.500 0.000 0.000
Pb1 0.000 0.000 0.500
Pb2 0.000 0.500 0.000
Br1 0.500 0.500 0.500
```

---

(6)
The following is a DFT calculation (PBE-GGA) of crystalline LaTiPb2Br at its relaxed geometry.

Properties
The uncorrected formation energy is 0.862 eV per atom. The size of the total moment comes out at 0.000 μB per atom.

Cell and atoms, written as CIF:
```
data_LaTiPb2Br
_symmetry_space_group_name_H-M 'P 4/m m m'
_symmetry_Int_Tables_number 123
_symmetry_space_group_name_Hall '-P 4 2'
_cell_length_a 6.228
_cell_length_b 6.228
_cell_length_c 5.050
_cell_angle_alpha 90.00
_cell_angle_beta 90.00
_cell_angle_gamma 90.00
loop_
_atom_site_label
_atom_site_fract_x
_atom_site_fract_y
_atom_site_fract_z
La1 0.000 0.000 0.000
Ti1 0.000 0.000 0.500
Pb1 0.000 0.500 0.000
Br1 0.500 0.500 0.500
```